Entry 1:
Density functional theory data (PBE) for crystalline LiTiTlBr6 at its relaxed geometry.

**Total magnetization**: 0.0 μB/f.u.
**Electronic total energy**: -32.7 eV/cell
**Energy relative to the elements, uncorrected**: -1162 meV per atom

abc: 6.9213 6.9213 7.1395
angles: 90.02 89.98 59.97
Sites, in units of the cell vectors:
Br  0.6159  0.0214  0.2938
Br  0.6157  0.3626  0.7061
Br  0.3625  0.6157  0.2939
Br  0.3626  0.0218  0.7062
Br  0.0214  0.6160  0.7062
Br  0.0217  0.3626  0.2938
Ti  0.3333  0.3334  0.5000
Li  0.6666  0.6666  0.5000
Tl  0.0000  0.0001  0.0000

Entry 2:
Density functional theory data (PBE) for crystalline TiPO4F at its relaxed geometry.

**Total magnetization**: 0.0 μB/f.u.
**Electronic total energy**: -98.6 eV/cell
**Energy relative to the elements, uncorrected**: -2043 meV per atom
**ΔE to the lowest computed polymorph**: 664 meV per atom

abc: 5.4106 4.9008 7.7083
angles: 102.80 92.63 110.99
Sites, in units of the cell vectors:
Ti  0.0000  0.0000  0.0000
Ti  0.5000  0.5000  0.5000
O  0.9366  0.6002  0.0157
O  0.0634  0.3998  0.9843
O  0.7308  0.0217  0.1639
O  0.2692  0.9783  0.8361
O  0.6139  0.2588  0.6526
O  0.6850  0.8444  0.7863
O  0.3150  0.1556  0.2137
O  0.3861  0.7412  0.3474
F  0.1667  0.3426  0.5606
F  0.8333  0.6574  0.4394
P  0.4926  0.9845  0.7247
P  0.5074  0.0155  0.2753

Entry 3:
Density functional theory data (PBE) for crystalline Na3Np3FeSe8 at its relaxed geometry.

**Total magnetization**: 14.1 μB/f.u.
**Electronic total energy**: -93.8 eV/cell
**Energy relative to the elements, uncorrected**: -980 meV per atom

abc: 8.1333 8.1334 8.4715
angles: 118.71 90.00 120.00
Last column: magnetic moment on the atom in μB.
Sites, in units of the cell vectors:
Se  0.2296  0.4592  0.7143  -0.07
Se  0.7446  0.4892  0.7336  -0.09
Se  0.7553  0.9849  0.7142  -0.07
Se  0.7704  0.0151  0.2858  -0.07
Se  0.7704  0.5408  0.2857  -0.07
Se  0.2296  0.9849  0.7142  -0.07
Se  0.2447  0.0151  0.2858  -0.07
Se  0.2554  0.5108  0.2664  -0.09
Na  0.5000  0.5000  0.0000  0.00
Na  0.0000  0.5000  0.0000  0.00
Na  0.0000  0.0000  0.0000  0.00
Fe  0.0000  0.0000  0.5000  3.22
Np  0.0000  0.5000  0.5000  3.67
Np  0.5000  0.0000  0.5000  3.67
Np  0.5000  0.5000  0.5000  3.67